(1)
VASP calculation (PBE-GGA) on LaTeAs after structural relaxation.

a b c (Å): 6.029 6.029 4.198
angles (deg): 69.63 69.62 40.75
Positions (direct):
Te1 0.693 0.693 0.307
La1 0.360 0.360 0.640
As1 0.947 0.947 0.053

Final energy in eV per atom: -5.277

=====

(2)
VASP calculation (PBE-GGA) on Pu4PaPt3 after structural relaxation.

a b c (Å): 3.772 3.934 13.214
angles (deg): 81.50 80.71 89.99
Each line ends with the local moment (μB).
Positions (direct):
Pu1 0.790 0.283 0.433  5.41
Pu2 0.210 0.717 0.567  5.41
Pu3 0.060 0.603 0.793  5.40
Pu4 0.940 0.397 0.207  5.40
Pt1 0.358 0.838 0.324  -0.04
Pt2 0.642 0.162 0.676  -0.04
Pt3 0.500 0.500 0.000  -0.01
Pa1 0.000 0.000 0.000  0.64

Final energy in eV per atom: -11.058
Energy of formation in meV/atom: -440

=====

(3)
VASP calculation (PBE-GGA) on La2Te2Br after structural relaxation.

a b c (Å): 8.633 8.633 4.274
angles (deg): 90.00 90.00 90.00
Positions (direct):
La1 0.344 0.844 0.000
La2 0.844 0.656 0.000
La3 0.156 0.344 0.000
La4 0.656 0.156 0.000
Br1 0.000 0.000 0.000
Br2 0.500 0.500 0.000
Te1 0.857 0.357 0.500
Te2 0.357 0.143 0.500
Te3 0.143 0.643 0.500
Te4 0.643 0.857 0.500

Final energy in eV per atom: -5.252

=====

(4)
VASP calculation (PBE-GGA) on CePuCu2O8 after structural relaxation.

a b c (Å): 5.899 5.899 5.899
angles (deg): 110.19 110.19 108.05
Each line ends with the local moment (μB).
Positions (direct):
O1 0.488 0.696 0.793  0.12
O2 0.304 0.512 0.207  0.12
O3 0.304 0.097 0.793  0.12
O4 0.903 0.696 0.207  0.12
O5 0.953 0.274 0.321  0.26
O6 0.953 0.632 0.679  0.26
O7 0.726 0.047 0.679  0.26
O8 0.368 0.047 0.321  0.26
Cu1 0.500 0.500 0.000  0.32
Cu2 0.750 0.250 0.500  0.75
Pu1 0.250 0.750 0.500  -1.12
Ce1 0.000 0.000 0.000  0.16

Final energy in eV per atom: -7.347